1.
Entry from Alexandria via LeMat-Bulk: Na3Sn4Au4 after structural relaxation (PBE).

The structure in CIF format:
```
data_Na3Sn4Au4
_cell_length_a 3.9031
_cell_length_b 4.8734
_cell_length_c 28.7828
_cell_angle_alpha 90.00
_cell_angle_beta 90.00
_cell_angle_gamma 90.00
_space_group_name_H-M_alt 'I m m m'
_space_group_IT_number 71
_space_group_name_Hall '-I 2 2'
loop_
_atom_site_label
_atom_site_fract_x
_atom_site_fract_y
_atom_site_fract_z
Na1 0.0000 0.0000 0.0000
Na2 0.0000 0.5000 0.1394
Sn1 0.0000 0.0000 0.2605
Sn2 0.0000 0.5000 0.4093
Au1 0.0000 0.0000 0.4508
Au2 0.0000 0.5000 0.3156
```

2.
Entry from Alexandria via LeMat-Bulk: Na3SnAu after structural relaxation (PBE).

The structure in CIF format:
```
data_Na3SnAu
_cell_length_a 6.0554
_cell_length_b 6.3491
_cell_length_c 7.7040
_cell_angle_alpha 99.93
_cell_angle_beta 111.27
_cell_angle_gamma 93.68
_space_group_name_H-M_alt 'P -1'
_space_group_IT_number 2
loop_
_space_group_symop_operation_xyz
'x,y,z'
'-x,-y,-z'
loop_
_atom_site_label
_atom_site_fract_x
_atom_site_fract_y
_atom_site_fract_z
Na1 0.1609 0.2741 0.1044
Na2 0.2585 0.4032 0.5936
Na3 0.2631 0.9433 0.7587
Sn1 0.2641 0.8643 0.3442
Au1 0.3830 0.6657 0.0482
```

| no. | calculated total energy (eV/atom) | energy above the lowest structure with this stoichiometry (kJ/mol of formula units) | formation energy (kJ/mol of atoms) |
| --- | --- | --- | --- |
| 1 | -3.2422 | 14 | -22.7 |
| 2 | -2.4784 | 0 | -22.3 |